The following is a PBE-GGA calculation of an optimized crystal structure of PaFe2MoH6, from the Alexandria database.

```
PaFe2MoH6
1.0
2.201 1.271 4.862
-2.201 1.271 4.862
0.000 -2.541 4.862
Pa Fe Mo H
1 2 1 6
Cartesian
0.000 0.000 0.000 Pa
0.000 0.000 2.933 Fe
0.000 0.000 11.653 Fe
0.000 0.000 7.293 Mo
-1.044 -0.603 5.815 H
0.000 -1.206 8.771 H
-1.044 0.603 8.771 H
1.044 -0.603 5.815 H
0.000 1.206 5.815 H
1.044 0.603 8.771 H
```

## Properties
Calculated total energy = -5.9137 eV/atom
Size of the total moment = 0.26 μB/atom